The following is a PBE calculation of a geometry-optimized La6PmY2Th structure, from Alexandria via LeMat-Bulk.

Cell and atoms, written as POSCAR:
```
La6PmY2Th
1.0
5.837 -3.464 0.000
5.837 3.464 0.000
-4.519 0.000 8.786
La Pm Y Th
6 1 2 1
Direct
0.041 0.584 0.177 La
0.154 0.154 0.417 La
0.416 0.959 0.823 La
0.584 0.041 0.177 La
0.846 0.846 0.583 La
0.959 0.416 0.823 La
0.500 0.500 0.500 Pm
0.440 0.440 0.812 Y
0.560 0.560 0.188 Y
0.000 0.000 0.000 Th
```

## Properties
Calculated formation energy (eV per formula unit): 1.9
E (Ry/atom): -0.3880
DOS(E_F) (states/eV/cell): 19.3
Space-group type: C2/m (12)

The following is a PBE calculation of a geometry-optimized Nd4Dy6Ho structure, from Alexandria via LeMat-Bulk.

Cell and atoms, written as POSCAR:
```
Nd4Dy6Ho
1.0
-3.835 3.835 6.604
3.835 -3.835 6.604
3.835 3.835 -6.604
Nd Dy Ho
4 6 1
Direct
0.248 0.248 0.649 Nd
0.401 0.752 0.000 Nd
0.599 0.599 0.351 Nd
0.752 0.401 0.000 Nd
0.000 0.500 0.500 Dy
0.054 0.578 0.000 Dy
0.422 0.422 0.476 Dy
0.500 0.000 0.500 Dy
0.578 0.054 0.000 Dy
0.946 0.946 0.524 Dy
0.000 0.000 0.000 Ho
```

## Properties
Calculated formation energy (eV per formula unit): 4.9
E (Ry/atom): -0.3100
Polymorph energy (0 for the lowest one) (meV per atom): 147
DOS(E_F) (states/eV/cell): 13.4
Space-group type: I-42m (121)

The following is a PBE calculation of a geometry-optimized CoW2Au structure, from Alexandria via LeMat-Bulk.

Cell and atoms, written as POSCAR:
```
CoW2Au
1.0
4.525 -1.376 0.000
4.525 1.376 0.000
-0.811 0.000 4.875
Co W Au
1 2 1
Direct
0.000 0.000 0.000 Co
0.266 0.266 0.793 W
0.509 0.509 0.528 W
0.754 0.754 0.268 Au
```

## Properties
Calculated formation energy (eV per formula unit): 1.4
E (Ry/atom): -0.6413
Polymorph energy (0 for the lowest one) (meV per atom): 104
DOS(E_F) (states/eV/cell): 4.0
Space-group type: Cm (8)

The following is a PBE calculation of a geometry-optimized Pu2Cu2Si3 structure, from Alexandria via LeMat-Bulk.

Cell and atoms, written as POSCAR:
```
Pu2Cu2Si3
1.0
2.116 -8.818 0.000
2.116 8.818 0.000
0.000 0.000 6.573
Pu Cu Si
4 4 6
Direct
0.049 0.951 0.750 Pu
0.156 0.844 0.250 Pu
0.844 0.156 0.750 Pu
0.951 0.049 0.250 Pu
0.312 0.688 0.061 Cu
0.312 0.688 0.439 Cu
0.688 0.312 0.561 Cu
0.688 0.312 0.939 Cu
0.222 0.778 0.750 Si
0.438 0.562 0.569 Si
0.438 0.562 0.931 Si
0.562 0.438 0.069 Si
0.562 0.438 0.431 Si
0.778 0.222 0.250 Si
```

## Properties
E (Ry/atom): -0.5875
DOS(E_F) (states/eV/cell): 33.7
Space-group type: Cmcm (63)
Energy relative to the elements, uncorrected (eV/atom): -0.40

The following is a PBE calculation of a geometry-optimized AcNd2Ho4Tm structure, from Alexandria via LeMat-Bulk.

Cell and atoms, written as POSCAR:
```
AcNd2Ho4Tm
1.0
6.896 -6.719 0.000
6.896 6.719 0.000
-3.452 0.000 5.976
Ac Nd Ho Tm
2 4 8 2
Direct
0.000 0.500 0.000 Ac
0.500 0.000 0.500 Ac
0.000 0.000 0.000 Nd
0.000 0.000 0.500 Nd
0.000 0.500 0.500 Nd
0.500 0.000 0.000 Nd
0.248 0.265 0.508 Ho
0.257 0.743 0.512 Ho
0.257 0.743 0.988 Ho
0.265 0.248 0.008 Ho
0.735 0.752 0.992 Ho
0.743 0.257 0.012 Ho
0.743 0.257 0.488 Ho
0.752 0.735 0.492 Ho
0.500 0.500 0.000 Tm
0.500 0.500 0.500 Tm
```

## Properties
Calculated formation energy (eV per formula unit): 3.4
E (Ry/atom): -0.3030
DOS(E_F) (states/eV/cell): 37.1
Space-group type: C2/c (15)

The following is a PBE calculation of a geometry-optimized KPaAgS4 structure, from Alexandria via LeMat-Bulk.

Cell and atoms, written as POSCAR:
```
KPaAgS4
1.0
7.096 0.000 0.000
0.000 5.451 0.000
-3.131 0.000 8.963
K Pa Ag S
2 2 2 8
Direct
0.243 0.250 0.029 K
0.757 0.750 0.971 K
0.221 0.750 0.445 Pa
0.779 0.250 0.555 Pa
0.432 0.250 0.714 Ag
0.568 0.750 0.286 Ag
0.131 0.519 0.684 S
0.131 0.981 0.684 S
0.212 0.750 0.168 S
0.367 0.250 0.426 S
0.633 0.750 0.574 S
0.788 0.250 0.832 S
0.869 0.019 0.316 S
0.869 0.481 0.316 S
```

## Properties
E (Ry/atom): -0.3920
DOS(E_F) (states/eV/cell): 3.1
Space-group type: P2_1/m (11)
Energy relative to the elements, uncorrected (eV/atom): -1.05

The following is a PBE calculation of a geometry-optimized HfBeC structure, from Alexandria via LeMat-Bulk.

Cell and atoms, written as POSCAR:
```
HfBeC
1.0
8.952 0.000 0.000
0.000 3.464 0.000
0.000 0.000 5.085
Hf Be C
4 4 4
Direct
0.147 0.250 0.114 Hf
0.353 0.750 0.614 Hf
0.647 0.250 0.386 Hf
0.853 0.750 0.886 Hf
0.069 0.750 0.546 Be
0.431 0.250 0.046 Be
0.569 0.750 0.954 Be
0.931 0.250 0.454 Be
0.134 0.750 0.850 C
0.366 0.250 0.350 C
0.634 0.750 0.650 C
0.866 0.250 0.150 C
```

## Properties
Calculated formation energy (eV per formula unit): 0.0
E (Ry/atom): -0.5621
DOS(E_F) (states/eV/cell): 2.5
Space-group type: Pnma (62)

The following is a PBE calculation of a geometry-optimized PmPr2Ho3S6 structure, from Alexandria via LeMat-Bulk.

Cell and atoms, written as POSCAR:
```
PmPr2Ho3S6
1.0
8.732 -1.969 0.000
8.732 1.969 0.000
-2.069 0.000 7.802
Pm Pr Ho S
1 2 3 6
Direct
0.000 0.000 0.000 Pm
0.333 0.333 0.667 Pr
0.667 0.667 0.333 Pr
0.000 0.000 0.500 Ho
0.333 0.333 0.167 Ho
0.667 0.667 0.833 Ho
0.162 0.162 0.595 S
0.170 0.170 0.070 S
0.495 0.495 0.258 S
0.505 0.505 0.742 S
0.830 0.830 0.930 S
0.838 0.838 0.405 S
```

## Properties
E (Ry/atom): -0.4709
DOS(E_F) (states/eV/cell): 4.7
Space-group type: C2/m (12)
Energy relative to the elements, uncorrected (eV/atom): -2.01

The following is a PBE calculation of a geometry-optimized Cr2ReSe structure, from Alexandria via LeMat-Bulk.

Cell and atoms, written as POSCAR:
```
Cr2ReSe
1.0
2.870 0.000 0.000
0.000 3.923 0.000
0.000 0.000 4.908
Cr Re Se
2 1 1
Direct
0.000 0.000 0.000 Cr
0.500 0.500 0.268 Cr
0.000 0.000 0.475 Re
0.500 0.500 0.776 Se
```

## Properties
E (Ry/atom): -0.6165
Polymorph energy (0 for the lowest one) (meV per atom): 207
DOS(E_F) (states/eV/cell): 3.8
Space-group type: Pmm2 (25)
Energy relative to the elements, uncorrected (eV/atom): 0.41

The following is a PBE calculation of a geometry-optimized DyHo4Tm2Sc structure, from Alexandria via LeMat-Bulk.

Cell and atoms, written as POSCAR:
```
DyHo4Tm2Sc
1.0
4.929 0.000 0.000
0.000 4.929 0.000
0.000 0.000 9.846
Dy Ho Tm Sc
1 4 2 1
Direct
0.000 0.000 0.000 Dy
0.000 0.500 0.255 Ho
0.000 0.500 0.745 Ho
0.500 0.000 0.255 Ho
0.500 0.000 0.745 Ho
0.000 0.000 0.500 Tm
0.500 0.500 0.000 Tm
0.500 0.500 0.500 Sc
```

## Properties
Calculated formation energy (eV per formula unit): 0.3
E (Ry/atom): -0.3484
DOS(E_F) (states/eV/cell): 12.0
Space-group type: P4/mmm (123)

The following is a PBE calculation of a geometry-optimized PdCN structure, from Alexandria via LeMat-Bulk.

Cell and atoms, written as POSCAR:
```
PdCN
1.0
3.018 0.000 0.000
-1.509 2.614 0.000
0.000 0.000 5.093
Pd C N
1 1 1
Direct
0.000 0.000 0.000 Pd
0.000 0.000 0.379 C
0.000 0.000 0.608 N
```

## Properties
E (Ry/atom): -0.5253
Polymorph energy (0 for the lowest one) (meV per atom): 5
DOS(E_F) (states/eV/cell): 0.4
Space-group type: P6mm (183)
Energy relative to the elements, uncorrected (eV/atom): 0.43

The following is a PBE calculation of a geometry-optimized CsHfTe3 structure, from Alexandria via LeMat-Bulk.

Cell and atoms, written as POSCAR:
```
CsHfTe3
1.0
10.473 0.000 0.000
0.000 7.519 0.000
-9.326 0.000 11.317
Cs Hf Te
4 4 12
Direct
0.033 0.233 0.129 Cs
0.033 0.267 0.629 Cs
0.967 0.733 0.371 Cs
0.967 0.767 0.871 Cs
0.409 0.667 0.317 Hf
0.409 0.833 0.817 Hf
0.591 0.167 0.183 Hf
0.591 0.333 0.683 Hf
0.088 0.736 0.177 Te
0.088 0.764 0.677 Te
0.423 0.021 0.655 Te
0.423 0.479 0.155 Te
0.480 0.664 0.546 Te
0.480 0.836 0.046 Te
0.520 0.164 0.954 Te
0.520 0.336 0.454 Te
0.577 0.521 0.845 Te
0.577 0.979 0.345 Te
0.912 0.236 0.323 Te
0.912 0.264 0.823 Te
```

## Properties
E (Ry/atom): -0.3541
Polymorph energy (0 for the lowest one) (meV per atom): 0
Space-group type: P2_1/c (14)
Energy relative to the elements, uncorrected (eV/atom): -0.77